# 1
# PrPS | the Alexandria database | PBE-GGA | optimized geometry
data_PrPS
_chemical_formula_sum 'Pr4 P4 S4'
_symmetry_space_group_name_H-M 'P n m a'
_symmetry_Int_Tables_number 62
_cell_length_a 7.308
_cell_length_b 3.782
_cell_length_c 9.553
_cell_angle_alpha 90.00
_cell_angle_beta 90.00
_cell_angle_gamma 90.00
loop_
_symmetry_equiv_pos_as_xyz
'x,y,z'
'-x,-y,-z'
'-x+1/2,-y,z+1/2'
'x+1/2,y,-z+1/2'
'x+1/2,-y+1/2,-z+1/2'
'-x+1/2,y+1/2,z+1/2'
'-x,y+1/2,-z'
'x,-y+1/2,z'
loop_
_atom_site_label
_atom_site_fract_x
_atom_site_fract_y
_atom_site_fract_z
Pr1 0.202 0.250 0.158
P1 0.083 0.250 0.463
S1 0.098 0.250 0.844
# crystal system: orthorhombic


# 2
# Pr2PS | the Alexandria database | PBE-GGA | optimized geometry
data_Pr2PS
_chemical_formula_sum 'Pr6 P3 S3'
_symmetry_space_group_name_H-M 'R -3 m'
_symmetry_Int_Tables_number 166
_symmetry_space_group_name_Hall '-R 3 2"'
_cell_length_a 4.1538
_cell_length_b 4.1538
_cell_length_c 20.4748
_cell_angle_alpha 90.00
_cell_angle_beta 90.00
_cell_angle_gamma 120.00
loop_
_atom_site_label
_atom_site_fract_x
_atom_site_fract_y
_atom_site_fract_z
Pr1 0.0000 0.0000 0.2474
P1 0.0000 0.0000 0.5000
S1 0.0000 0.0000 0.0000
# offset from the most stable computed form: 0.0046 eV/atom
# crystal system: trigonal


# 3
# Pr4P2S | the Alexandria database | PBE-GGA | optimized geometry
data_Pr4P2S
_chemical_formula_sum 'Pr8 P4 S2'
_symmetry_space_group_name_H-M 'C 1 2/m 1'
_symmetry_Int_Tables_number 12
_cell_length_a 15.570
_cell_length_b 4.098
_cell_length_c 7.102
_cell_angle_alpha 90.00
_cell_angle_beta 117.13
_cell_angle_gamma 90.00
loop_
_symmetry_equiv_pos_as_xyz
'x,y,z'
'-x,-y,-z'
'-x,y,-z'
'x,-y,z'
'x+1/2,y+1/2,z'
'-x+1/2,-y+1/2,-z'
'-x+1/2,y+1/2,-z'
'x+1/2,-y+1/2,z'
loop_
_atom_site_label
_atom_site_fract_x
_atom_site_fract_y
_atom_site_fract_z
Pr1 0.130 0.000 0.290
Pr2 0.130 0.500 0.804
P1 0.243 0.000 0.743
S1 0.000 0.500 0.000
# crystal system: monoclinic


# 4
# Pr2PS | the Alexandria database | PBE-GGA | optimized geometry
data_Pr2PS
_chemical_formula_sum 'Pr8 P4 S4'
_symmetry_space_group_name_H-M 'I 41/a m d'
_symmetry_Int_Tables_number 141
_cell_length_a 5.877
_cell_length_b 5.877
_cell_length_c 11.785
_cell_angle_alpha 90.00
_cell_angle_beta 90.00
_cell_angle_gamma 90.00
loop_
_symmetry_equiv_pos_as_xyz
'x,y,z'
'-x,-y,-z'
'-y+1/4,x+3/4,z+1/4'
'y+1/4,-x+3/4,-z+1/4'
'-x+1/2,-y,z+1/2'
'x+1/2,y,-z+1/2'
'y+1/4,-x+1/4,z+3/4'
'-y+1/4,x+1/4,-z+3/4'
'x,-y,-z'
'-x,y,z'
'-y+1/4,-x+1/4,-z+3/4'
'y+1/4,x+1/4,z+3/4'
'-x+1/2,y,-z+1/2'
'x+1/2,-y,z+1/2'
'y+1/4,x+3/4,-z+1/4'
'-y+1/4,-x+3/4,z+1/4'
'x+1/2,y+1/2,z+1/2'
'-x+1/2,-y+1/2,-z+1/2'
'-y+3/4,x+1/4,z+3/4'
'y+3/4,-x+1/4,-z+3/4'
'-x,-y+1/2,z'
'x,y+1/2,-z'
'y+3/4,-x+3/4,z+1/4'
'-y+3/4,x+3/4,-z+1/4'
'x+1/2,-y+1/2,-z+1/2'
'-x+1/2,y+1/2,z+1/2'
'-y+3/4,-x+3/4,-z+1/4'
'y+3/4,x+3/4,z+1/4'
'-x,y+1/2,-z'
'x,-y+1/2,z'
'y+3/4,x+1/4,-z+3/4'
'-y+3/4,-x+1/4,z+3/4'
loop_
_atom_site_label
_atom_site_fract_x
_atom_site_fract_y
_atom_site_fract_z
Pr1 0.000 0.250 0.121
P1 0.000 0.250 0.875
S1 0.000 0.250 0.375
# offset from the most stable computed form: 0.0000 eV/atom
# crystal system: tetragonal


# 5
# Pr6SbP3S2 | the Alexandria database | PBE-GGA | optimized geometry
data_Pr6SbP3S2
_chemical_formula_sum 'Pr12 Sb2 P6 S4'
_symmetry_space_group_name_H-M 'C 1 2/m 1'
_symmetry_Int_Tables_number 12
_cell_length_a 18.511
_cell_length_b 4.233
_cell_length_c 8.504
_cell_angle_alpha 90.00
_cell_angle_beta 103.70
_cell_angle_gamma 90.00
loop_
_symmetry_equiv_pos_as_xyz
'x,y,z'
'-x,-y,-z'
'-x,y,-z'
'x,-y,z'
'x+1/2,y+1/2,z'
'-x+1/2,-y+1/2,-z'
'-x+1/2,y+1/2,-z'
'x+1/2,-y+1/2,z'
loop_
_atom_site_label
_atom_site_fract_x
_atom_site_fract_y
_atom_site_fract_z
Pr1 0.000 0.000 0.234
Pr2 0.165 0.500 0.088
Pr3 0.173 0.500 0.582
Sb1 0.000 0.500 0.500
P1 0.000 0.500 0.000
P2 0.166 0.000 0.331
S1 0.169 0.000 0.837
# crystal system: monoclinic


# 6
# Pr4Sb2PS | the Alexandria database | PBE-GGA | optimized geometry
data_Pr4Sb2PS
_chemical_formula_sum 'Pr4 Sb2 P1 S1'
_symmetry_space_group_name_H-M 'P 1 2/m 1'
_symmetry_Int_Tables_number 10
_cell_length_a 7.526
_cell_length_b 4.350
_cell_length_c 7.587
_cell_angle_alpha 90.00
_cell_angle_beta 109.27
_cell_angle_gamma 90.00
loop_
_symmetry_equiv_pos_as_xyz
'x,y,z'
'-x,-y,-z'
'-x,y,-z'
'x,-y,z'
loop_
_atom_site_label
_atom_site_fract_x
_atom_site_fract_y
_atom_site_fract_z
Pr1 0.240 0.000 0.228
Pr2 0.253 0.500 0.770
Sb1 0.000 0.000 0.500
Sb2 0.500 0.500 0.500
P1 0.000 0.500 0.000
S1 0.500 0.000 0.000
# crystal system: monoclinic


# 7
# Pr4SbPS2 | the Alexandria database | PBE-GGA | optimized geometry
data_Pr4SbPS2
_chemical_formula_sum 'Pr4 Sb1 P1 S2'
_symmetry_space_group_name_H-M 'P 1 2/m 1'
_symmetry_Int_Tables_number 10
_cell_length_a 7.314
_cell_length_b 4.253
_cell_length_c 7.435
_cell_angle_alpha 90.00
_cell_angle_beta 109.56
_cell_angle_gamma 90.00
loop_
_symmetry_equiv_pos_as_xyz
'x,y,z'
'-x,-y,-z'
'-x,y,-z'
'x,-y,z'
loop_
_atom_site_label
_atom_site_fract_x
_atom_site_fract_y
_atom_site_fract_z
Pr1 0.238 0.000 0.231
Pr2 0.249 0.500 0.763
Sb1 0.500 0.500 0.500
P1 0.500 0.000 0.000
S1 0.000 0.000 0.500
S2 0.000 0.500 0.000
# crystal system: monoclinic


# 8
# PrScP2S8 | the Alexandria database | PBE-GGA | optimized geometry
data_PrScP2S8
_chemical_formula_sum 'Pr1 Sc1 P2 S8'
_symmetry_space_group_name_H-M 'P -3 m 1'
_symmetry_Int_Tables_number 164
_symmetry_space_group_name_Hall '-P 3 2"'
_cell_length_a 6.5519
_cell_length_b 6.5519
_cell_length_c 8.3239
_cell_angle_alpha 90.00
_cell_angle_beta 90.00
_cell_angle_gamma 120.00
loop_
_atom_site_label
_atom_site_fract_x
_atom_site_fract_y
_atom_site_fract_z
Pr1 0.0000 0.0000 0.0000
Sc1 0.0000 0.0000 0.5000
P1 0.3333 0.6667 0.2024
S1 0.1612 0.3224 0.2823
S2 0.3333 0.6667 0.9641
# crystal system: trigonal


# 9
# PrScPS | the Alexandria database | PBE-GGA | optimized geometry
data_PrScPS
_chemical_formula_sum 'Pr3 Sc3 P3 S3'
_symmetry_space_group_name_H-M 'R 3 m'
_symmetry_Int_Tables_number 160
_symmetry_space_group_name_Hall 'R 3 -2"'
_cell_length_a 3.8646
_cell_length_b 3.8646
_cell_length_c 20.3985
_cell_angle_alpha 90.00
_cell_angle_beta 90.00
_cell_angle_gamma 120.00
loop_
_atom_site_label
_atom_site_fract_x
_atom_site_fract_y
_atom_site_fract_z
Pr1 0.0000 0.0000 0.0000
Sc1 0.0000 0.0000 0.1773
P1 0.0000 0.0000 0.5780
S1 0.0000 0.0000 0.7650
# crystal system: trigonal


# 10
# Pr4PSeS2 | the Alexandria database | PBE-GGA | optimized geometry
data_Pr4PSeS2
_chemical_formula_sum 'Pr4 P1 Se1 S2'
_symmetry_space_group_name_H-M 'P 1 2/m 1'
_symmetry_Int_Tables_number 10
_cell_length_a 7.189
_cell_length_b 4.156
_cell_length_c 7.293
_cell_angle_alpha 90.00
_cell_angle_beta 109.20
_cell_angle_gamma 90.00
loop_
_symmetry_equiv_pos_as_xyz
'x,y,z'
'-x,-y,-z'
'-x,y,-z'
'x,-y,z'
loop_
_atom_site_label
_atom_site_fract_x
_atom_site_fract_y
_atom_site_fract_z
Pr1 0.243 0.000 0.234
Pr2 0.252 0.500 0.762
P1 0.500 0.000 0.000
Se1 0.500 0.500 0.500
S1 0.000 0.000 0.500
S2 0.000 0.500 0.000
# crystal system: monoclinic


# 11
# Pr8P3Se4S | the Alexandria database | PBE-GGA | optimized geometry
data_Pr8P3Se4S
_chemical_formula_sum 'Pr24 P9 Se12 S3'
_symmetry_space_group_name_H-M 'R -3 m'
_symmetry_Int_Tables_number 166
_symmetry_space_group_name_Hall '-R 3 2"'
_cell_length_a 8.3957
_cell_length_b 8.3957
_cell_length_c 21.0144
_cell_angle_alpha 90.00
_cell_angle_beta 90.00
_cell_angle_gamma 120.00
loop_
_atom_site_label
_atom_site_fract_x
_atom_site_fract_y
_atom_site_fract_z
Pr1 0.0000 0.0000 0.2436
Pr2 0.0035 0.5018 0.7565
P1 0.0000 0.5000 0.5000
Se1 0.0000 0.0000 0.0000
Se2 0.0000 0.5000 0.0000
S1 0.0000 0.0000 0.5000
# crystal system: trigonal


# 12
# Pr6PSe2S3 | the Alexandria database | PBE-GGA | optimized geometry
data_Pr6PSe2S3
_chemical_formula_sum 'Pr12 P2 Se4 S6'
_symmetry_space_group_name_H-M 'C 1 2/m 1'
_symmetry_Int_Tables_number 12
_cell_length_a 18.200
_cell_length_b 4.153
_cell_length_c 8.407
_cell_angle_alpha 90.00
_cell_angle_beta 103.05
_cell_angle_gamma 90.00
loop_
_symmetry_equiv_pos_as_xyz
'x,y,z'
'-x,-y,-z'
'-x,y,-z'
'x,-y,z'
'x+1/2,y+1/2,z'
'-x+1/2,-y+1/2,-z'
'-x+1/2,y+1/2,-z'
'x+1/2,-y+1/2,z'
loop_
_atom_site_label
_atom_site_fract_x
_atom_site_fract_y
_atom_site_fract_z
Pr1 0.003 0.000 0.257
Pr2 0.161 0.500 0.095
Pr3 0.163 0.500 0.570
P1 0.000 0.500 0.500
Se1 0.168 0.000 0.836
S1 0.000 0.500 0.000
S2 0.168 0.000 0.335
# crystal system: monoclinic


Calculated VASP energy, -6.25; -6.60; -6.26; -6.61; -6.42; -6.08; -6.29; -5.32; -6.84; -6.43; -6.35; -6.36 eV/atom (same order as the records).
Calculated uncorrected formation energy, -1.480; -1.830; -1.395; -1.835; -1.647; -1.469; -1.672; -0.738; -1.680; -1.892; -1.818; -1.910 eV/atom (same order as the records).
Calculated Fermi-level density of states, 0.857; 4.783; 12.397; 5.088; 8.219; 1.663; 3.418; 1.125; 8.182; 2.758; 22.357; 8.157 states/eV/cell (same order as the records).